No. 1
4
Lattice="-3.140 3.140 3.008 3.140 -3.140 3.008 3.140 3.140 -3.008" Properties=species:S:1:pos:R:3 comment="Te2PPb, relaxed, DFT GGA-PBE" raw_formation_energy_ev_per_atom=0.18 pbc="T T T"
P 0.000 0.000 3.008
Pb 0.000 0.000 0.000
Te 0.000 3.140 0.000
Te 3.140 0.000 0.000


No. 2
4
Lattice="4.899 -0.599 1.937 1.703 3.138 3.920 0.702 -1.982 4.867" Properties=species:S:1:pos:R:3 comment="Te2PPb, relaxed, DFT GGA-PBE" raw_formation_energy_ev_per_atom=0.42 pbc="T T T"
Pb 3.652 0.278 5.362
P 0.000 0.000 0.000
Te 1.826 0.139 2.681
Te 5.478 0.417 8.043


| no. | distance to the lowest polymorph of the same formula (meV/atom) | magnetic moment (μB/f.u.) | DOS at the Fermi energy (states/eV per atom) |
| --- | --- | --- | --- |
| 1 | 167.6 | 0.00 | 0.581 |
| 2 | 403.4 | 0.00 | 0.698 |